A plane-wave DFT calculation with PBE-GGA was carried out for crystalline SrCa2Ag at its relaxed geometry.

```
16
Lattice="-2.3688 -0.6231 -6.3731 7.9290 -0.0979 -2.9375 0.2119 -10.0969 0.9085" Properties=species:S:1:pos:R:3 pbc="T T T"
Sr 2.7893 -2.9658 -5.3185
Sr -1.7673 -3.0726 -5.4427
Sr 2.9828 -7.8522 -3.0837
Sr 7.5394 -7.7454 -2.9594
Ca 5.0218 -0.7653 -2.8575
Ca 0.6436 -4.6780 -2.3733
Ca 0.6699 -6.2210 -5.8894
Ca 5.2089 -9.9717 -5.6841
Ca 0.7503 -10.0527 -5.5447
Ca 5.1285 -6.1399 -6.0289
Ca 5.1022 -4.5970 -2.5127
Ca 0.5632 -0.8463 -2.7180
Ag 2.9035 -2.6112 -1.4048
Ag 6.0599 -2.8728 -5.0478
Ag 2.8686 -8.2067 -6.9973
Ag -0.2878 -7.9452 -3.3544
```

relative energy among the computed polymorphs	2	meV per atom
density of states at the Fermi level	14.076	states/eV/cell
VASP energy	-2.32	eV/atom
space-group type	Pnma (62)



A plane-wave DFT calculation with PBE-GGA was carried out for crystalline Sr2CaAg at its relaxed geometry.

```
16
Lattice="-2.5560 2.2168 -6.4789 -6.8124 -4.4961 1.1492 -4.6803 8.2883 4.6823" Properties=species:S:1:pos:R:3 pbc="T T T"
Sr -5.3510 -2.1707 0.0133
Sr -4.1310 3.5531 0.0776
Sr -6.9495 5.0837 -2.4097
Sr -11.6660 5.5518 1.0240
Sr -8.6977 8.1797 -0.6607
Sr -9.9177 2.4558 -0.7250
Sr -7.0993 0.9253 1.7623
Sr -2.3828 0.4572 -1.6714
Ca -6.4980 1.0928 -2.4216
Ca -3.6034 3.7846 -4.2931
Ca -7.5508 4.9161 1.7742
Ca -10.4453 2.2243 3.6457
Ag -3.8125 0.4566 1.3889
Ag -8.3285 -0.8290 -0.8495
Ag -10.2362 5.5524 -2.0363
Ag -5.7202 6.8380 0.2021
```

relative energy among the computed polymorphs	0	meV per atom
density of states at the Fermi level	13.797	states/eV/cell
VASP energy	-2.23	eV/atom
space-group type	Pnma (62)



A plane-wave DFT calculation with PBE-GGA was carried out for crystalline Sr3CaAg4 at its relaxed geometry.

```
24
Lattice="-0.5528 2.0523 4.2191 -6.2766 -0.7892 -0.4386 1.8997 -22.0890 10.9935" Properties=species:S:1:pos:R:3 pbc="T T T"
Sr -2.2011 -21.3151 10.0797
Sr -4.5317 -15.6557 9.6664
Sr -3.6286 -4.5008 4.3587
Sr -0.1183 -6.1670 2.9843
Sr -1.0095 -17.3281 8.2965
Sr 0.5985 -18.8320 11.8836
Sr -1.7791 -8.0163 6.3111
Sr -5.2243 -3.0561 0.8020
Sr -2.8701 -13.8088 6.3408
Ca -0.0970 -11.3757 8.1656
Ca -2.4324 -0.6237 2.6296
Ca -4.5543 -10.4493 4.4860
Ag -1.4321 -14.1428 9.3367
Ag -0.6563 -2.9965 4.0165
Ag -3.2171 -7.6863 3.3172
Ag -4.0127 -18.8296 8.6333
Ag -2.6677 -18.1263 11.1124
Ag -4.9937 -7.4190 5.5993
Ag -1.9793 -3.6505 1.5163
Ag 0.3436 -14.4076 7.0532
Ag -3.3020 -10.7190 7.4262
Ag -5.7488 0.0195 1.8822
Ag -1.3499 -11.1053 5.2250
Ag 1.0245 -22.0331 10.8516
```

relative energy among the computed polymorphs	0	meV per atom
density of states at the Fermi level	13.153	states/eV/cell
VASP energy	-2.62	eV/atom
space-group type	Pm (6)



A plane-wave DFT calculation with PBE-GGA was carried out for crystalline Sr3Ca12Ag at its relaxed geometry.

```
16
Lattice="-4.5329 3.2737 -0.0539 -2.4471 -3.4486 -3.6587 -8.2892 -11.2120 16.1121" Properties=species:S:1:pos:R:3 pbc="T T T"
Sr -1.9437 -2.6290 3.7781
Sr -4.1446 -5.6060 8.0561
Sr -6.3455 -8.5830 12.3341
Ca -3.4900 -0.0875 -1.8563
Ca -5.3934 -2.6620 1.8434
Ca -7.6346 -5.6935 6.1997
Ca -9.8757 -8.7249 10.5561
Ca -3.0916 0.5208 1.5768
Ca -5.3022 -2.4693 5.8738
Ca -7.5199 -5.4690 10.1844
Ca -9.7305 -8.4591 14.4813
Ca -2.0486 -2.8403 -0.2256
Ca -4.2593 -5.8305 4.0714
Ca -6.4769 -8.8301 8.3820
Ca -8.6876 -11.8203 12.6790
Ag 0.0000 0.0000 0.0000
```

density of states at the Fermi level	19.572	states/eV/cell
VASP energy	-1.99	eV/atom
space-group type	P4/mmm (123)



A plane-wave DFT calculation with PBE-GGA was carried out for crystalline Sr2CaAg at its relaxed geometry.

```
4
Lattice="-2.5981 -2.7359 -1.2647 1.3474 -2.5478 2.7434 -6.6437 3.3586 6.3821" Properties=species:S:1:pos:R:3 pbc="T T T"
Sr -6.5309 3.3016 6.2738
Sr -2.7168 -1.5846 2.7484
Ca -5.1609 -0.3490 5.0963
Ag -3.4514 1.7448 3.3155
```

relative energy among the computed polymorphs	38	meV per atom
density of states at the Fermi level	3.233	states/eV/cell
VASP energy	-2.19	eV/atom
space-group type	P4mm (99)



A plane-wave DFT calculation with PBE-GGA was carried out for crystalline SrCa2Ag at its relaxed geometry.

```
4
Lattice="-4.3418 3.8803 9.0169 -7.7784 2.9818 6.7689 -5.8692 -0.0359 8.9869" Properties=species:S:1:pos:R:3 pbc="T T T"
Sr -4.4974 1.7066 6.1932
Ca -0.4547 0.1725 0.6262
Ca -8.5400 3.2406 11.7601
Ag -13.4921 5.1197 18.5795
```

relative energy among the computed polymorphs	111	meV per atom
density of states at the Fermi level	3.974	states/eV/cell
VASP energy	-2.21	eV/atom
space-group type	R-3m (166)



A plane-wave DFT calculation with PBE-GGA was carried out for crystalline Sr3CaAg4 at its relaxed geometry.

```
16
Lattice="-4.1266 1.9264 -3.0482 -0.2174 -6.6992 -3.9395 -7.2041 -4.0108 7.2179" Properties=species:S:1:pos:R:3 pbc="T T T"
Sr 0.0000 0.0000 0.0000
Sr -3.6020 -2.0054 3.6090
Sr -7.4677 -2.0442 3.8884
Sr -3.8629 -0.0401 0.2814
Sr -7.5772 -5.3934 1.9180
Sr -3.9708 -3.3901 -1.6877
Ca -0.1087 -3.3496 -1.9697
Ca -3.7107 -5.3550 1.6392
Ag -2.2238 -3.9826 -4.4325
Ag -5.8258 -5.9880 -0.8235
Ag -2.1202 -0.7901 -2.5552
Ag -5.7222 -2.7955 1.0538
Ag -5.5667 -7.9512 2.5034
Ag -6.0849 -4.0223 -4.1491
Ag -5.9814 -0.8323 -2.2731
Ag -5.4632 -4.7611 4.3793
```

relative energy among the computed polymorphs	39	meV per atom
density of states at the Fermi level	11.961	states/eV/cell
VASP energy	-2.58	eV/atom
space-group type	P4/mmm (123)



A plane-wave DFT calculation with PBE-GGA was carried out for crystalline Sr2CaAg at its relaxed geometry.

```
8
Lattice="4.2343 0.0016 0.0000 -2.1151 7.0536 0.0000 0.0000 0.0000 10.6574" Properties=species:S:1:pos:R:3 pbc="T T T"
Sr 0.0012 5.0976 6.0112
Sr 2.1180 1.9575 4.6461
Sr 0.0012 5.0976 9.9748
Sr 2.1180 1.9575 0.6826
Ca 2.1192 5.9581 2.6643
Ca 0.0000 1.0970 7.9930
Ag 2.1181 3.4020 7.9930
Ag 0.0011 3.6532 2.6643
```

relative energy among the computed polymorphs	8	meV per atom
density of states at the Fermi level	8.209	states/eV/cell
VASP energy	-2.22	eV/atom
space-group type	Cmcm (63)